A geometry-optimized Na4DyNp3S8 structure, computed with PBE.

Properties
Its energy relative to the elements, uncorrected is -142 kJ/mol of atoms. Its space-group type is R-3m. The calculation puts the size of the total moment at 12.000 μB/cell. The density of states at the Fermi level is 28.310 states/eV per cell. The total energy is -6.579 eV per atom.

Cell lengths 8.0265, 8.1125, 8.0265 Å; angles 119.67, 120.00, 90.00 degrees
Fractional positions:
Na (0.5000, 0.0000, 0.0000)
Na (0.5000, 0.0000, 0.5000)
Na (0.0000, 0.0000, 0.0000)
Na (0.0000, 0.0000, 0.5000)
Dy (0.0000, 0.5000, 0.0000)
Np (0.5000, 0.5000, 0.0000)
Np (0.5000, 0.5000, 0.5000)
Np (0.0000, 0.5000, 0.5000)
S (0.2420, 0.7279, 0.9862)
S (0.2419, 0.7279, 0.4838)
S (0.2586, 0.2759, 0.5171)
S (0.7443, 0.7279, 0.9862)
S (0.2557, 0.2721, 0.0138)
S (0.7414, 0.7241, 0.4829)
S (0.7581, 0.2721, 0.5162)
S (0.7580, 0.2721, 0.0138)

---

A geometry-optimized Na3DyNp2S6 structure, computed with PBE.

Properties
Its energy relative to the elements, uncorrected is -145 kJ/mol of atoms. Its space-group type is C2/m. The calculation puts the size of the total moment at 8.000 μB/cell. The density of states at the Fermi level is 20.994 states/eV per cell. The total energy is -6.441 eV per atom.

Cell lengths 6.9392, 6.9392, 7.0574 Å; angles 99.43, 99.43, 120.00 degrees
Fractional positions:
Na (0.1664, 0.8336, 0.5000)
Na (0.8336, 0.1664, 0.5000)
Na (0.5000, 0.5000, 0.5000)
Dy (0.0000, 0.0000, 0.0000)
Np (0.3333, 0.6667, 0.0000)
Np (0.6667, 0.3333, 0.0000)
S (0.9242, 0.5912, 0.7727)
S (0.7428, 0.7428, 0.2274)
S (0.0758, 0.4088, 0.2273)
S (0.5912, 0.9242, 0.7727)
S (0.2572, 0.2572, 0.7726)
S (0.4088, 0.0758, 0.2273)

---

A geometry-optimized Na2DyNpS4 structure, computed with PBE.

Properties
Its energy relative to the elements, uncorrected is -153 kJ/mol of atoms. Its space-group type is P2/m. The calculation puts the size of the total moment at 4.000 μB/cell. The density of states at the Fermi level is 8.685 states/eV per cell. The total energy is -6.172 eV per atom.

Cell lengths 4.0096, 6.9484, 7.0660 Å; angles 109.29, 90.00, 90.00 degrees
Fractional positions:
Na (0.5000, 0.0000, 0.5000)
Na (0.0000, 0.5000, 0.5000)
Dy (0.5000, 0.5000, 0.0000)
Np (0.0000, 0.0000, 0.0000)
S (0.5000, 0.2437, 0.2265)
S (0.5000, 0.7563, 0.7735)
S (0.0000, 0.2601, 0.7718)
S (0.0000, 0.7399, 0.2282)